[1]
# NaSe5

An optimized crystal structure of NaSe5 (PBE, Alexandria).

The structure belongs to space group P2_1/m (No. 11); the cell edges are 4.151, 10.228 and 8.386 Å and the angles 90.00°, 95.71° and 90.00°. Symmetry generates all atoms from Na at (0.084, 0.250, 0.149), Se at (0.241, 0.022, 0.926), Se at (0.278, 0.750, 0.453) and Se at (0.279, 0.086, 0.470).

=====

[2]
# MnRh2Cl

An optimized crystal structure of MnRh2Cl (PBE, Alexandria).

The structure belongs to space group R-3m (No. 166, hexagonal axes); the cell edges are 2.9388, 2.9388 and 24.0005 Å and the angles 90.00°, 90.00° and 120.00°. Symmetry generates all atoms from Mn at (0.0000, 0.0000, 0.0000), Rh at (0.0000, 0.0000, 0.2537) and Cl at (0.0000, 0.0000, 0.5000).

The energy above the lowest structure with this stoichiometry comes out at 77.6 meV/atom.

=====

[3]
# K2AgWS4

An optimized crystal structure of K2AgWS4 (PBE, Alexandria).

The structure belongs to space group Fddd (No. 70, origin choice 2); the cell edges are 5.789, 13.445 and 23.587 Å and the angles 90.00°, 90.00° and 90.00°. Symmetry generates all atoms from K at (0.125, 0.125, 0.305), Ag at (0.125, 0.125, 0.125), W at (0.125, 0.125, 0.625) and S at (0.085, 0.272, 0.818).

=====

DFT total energy per entry: -19.48; -25.11; -40.11 eV/f.u.
D(E_F) per entry: 0.250; 1.308; 0.439 states/eV per atom
E_form (uncorrected) per entry: -0.12; 0.15; -0.70 eV/atom